## Sm3Hf3CoTe2 (GGA-PBE)

Data for a relaxed structure of Sm3Hf3CoTe2.

polymorph energy (0 for the lowest one): 0.0 meV per atom

Cell: 8.042 8.042 3.942 Å, 90.00 90.00 120.00°
Last column: magnetic moment on the atom in μB.
Fractional positions:
Te (0.333, 0.667, 0.500)  0.00
Te (0.667, 0.333, 0.500)  0.00
Hf (0.000, 0.782, 0.500)  0.05
Hf (0.782, 0.000, 0.500)  0.04
Hf (0.218, 0.218, 0.500)  0.04
Sm (0.000, 0.398, 0.000)  0.02
Sm (0.602, 0.602, 0.000)  0.03
Sm (0.398, 0.000, 0.000)  0.02
Co (0.000, 0.000, 0.000)  0.14

=====

## LaCd2PtAu (GGA-PBE)

Data for a relaxed structure of LaCd2PtAu.

ΔH_f (0 K): -0.645 eV per atom

Cell: 7.320 7.320 7.320 Å, 146.98 146.98 47.40°
Fractional positions:
Cd (0.754, 0.254, 0.500)
Cd (0.254, 0.754, 0.500)
Au (0.603, 0.603, 0.000)
La (0.988, 0.988, 0.000)
Pt (0.401, 0.401, 0.000)

=====

## BaLiBiPt (GGA-PBE)

Data for a relaxed structure of BaLiBiPt.

polymorph energy (0 for the lowest one): 150.1 meV per atom

Cell: 5.225 5.225 5.225 Å, 60.00 60.00 60.00°
Fractional positions:
Pt (0.500, 0.500, 0.500)
Li (0.750, 0.750, 0.750)
Ba (0.000, 0.000, 0.000)
Bi (0.250, 0.250, 0.250)

=====

## BPd3Au (GGA-PBE)

Data for a relaxed structure of BPd3Au.

raw total energy: -5.277 eV per atom

Cell: 5.676 5.676 5.504 Å, 105.44 105.44 60.25°
Fractional positions:
Pd (0.046, 0.545, 0.267)
Pd (0.454, 0.454, 0.734)
Pd (0.545, 0.046, 0.267)
Pd (0.455, 0.954, 0.733)
Pd (0.954, 0.455, 0.733)
Pd (0.546, 0.546, 0.266)
B (0.333, 0.333, 0.001)
B (0.667, 0.667, 0.999)
Au (0.048, 0.048, 0.270)
Au (0.952, 0.952, 0.730)

=====

## B2Pt (GGA-PBE)

Data for a relaxed structure of B2Pt.

raw total energy: -5.429 eV per atom

Cell: 6.410 6.410 6.410 Å, 60.00 60.00 60.00°
Fractional positions:
Pt (0.250, 0.250, 0.250)
Pt (0.500, 0.500, 0.500)
B (0.375, 0.375, 0.875)
B (0.875, 0.375, 0.375)
B (0.375, 0.375, 0.375)
B (0.375, 0.875, 0.375)

=====

## TmAlPO (GGA-PBE)

Data for a relaxed structure of TmAlPO.

raw total energy: -6.386 eV per atom

Cell: 3.927 3.927 8.375 Å, 90.00 90.00 90.00°
Fractional positions:
Al (0.750, 0.250, 0.500)
Al (0.250, 0.750, 0.500)
O (0.250, 0.750, 0.000)
O (0.750, 0.250, 0.000)
Tm (0.250, 0.250, 0.122)
Tm (0.750, 0.750, 0.878)
P (0.750, 0.750, 0.328)
P (0.250, 0.250, 0.672)

=====

## ScAgGeTe3 (GGA-PBE)

Data for a relaxed structure of ScAgGeTe3.

raw total energy: -4.305 eV per atom

Cell: 4.101 7.438 10.805 Å, 90.00 90.00 74.00°
Fractional positions:
Sc (0.000, 0.000, 0.000)
Sc (0.000, 0.000, 0.500)
Te (0.107, 0.785, 0.750)
Te (0.646, 0.707, 0.052)
Te (0.354, 0.293, 0.552)
Te (0.354, 0.293, 0.948)
Te (0.893, 0.215, 0.250)
Te (0.646, 0.707, 0.448)
Ge (0.788, 0.424, 0.750)
Ge (0.212, 0.576, 0.250)
Ag (0.524, 0.952, 0.250)
Ag (0.476, 0.048, 0.750)

=====

## AlAuSO (GGA-PBE)

Data for a relaxed structure of AlAuSO.

polymorph energy (0 for the lowest one): 535.8 meV per atom

Cell: 3.653 3.653 8.975 Å, 90.00 90.00 90.00°
Fractional positions:
O (0.250, 0.750, 0.000)
O (0.750, 0.250, 0.000)
Au (0.750, 0.250, 0.500)
Au (0.250, 0.750, 0.500)
S (0.250, 0.250, 0.731)
S (0.750, 0.750, 0.269)
Al (0.750, 0.750, 0.914)
Al (0.250, 0.250, 0.086)

=====

## K2RbZrF7 (GGA-PBE)

Data for a relaxed structure of K2RbZrF7.

raw total energy: -5.485 eV per atom

Cell: 5.728 5.728 6.482 Å, 112.57 112.57 88.88°
Fractional positions:
F (0.132, 0.132, 0.788)
F (0.907, 0.354, 0.230)
F (0.882, 0.882, 0.187)
F (0.357, 0.357, 0.255)
F (0.019, 0.680, 0.782)
F (0.354, 0.907, 0.230)
F (0.680, 0.019, 0.782)
K (0.754, 0.236, 0.502)
K (0.236, 0.754, 0.502)
Zr (0.051, 0.051, 0.039)
Rb (0.502, 0.502, 0.954)

=====

## LiMg2Ir (GGA-PBE)

Data for a relaxed structure of LiMg2Ir.

raw total energy: -3.464 eV per atom

Cell: 4.384 4.384 9.027 Å, 90.00 90.00 120.00°
Fractional positions:
Li (0.667, 0.333, 0.750)
Li (0.333, 0.667, 0.250)
Ir (0.000, 0.000, 0.500)
Ir (0.000, 0.000, 0.000)
Mg (0.667, 0.333, 0.418)
Mg (0.667, 0.333, 0.082)
Mg (0.333, 0.667, 0.918)
Mg (0.333, 0.667, 0.582)

=====

## BaCuAgSb2 (GGA-PBE)

Data for a relaxed structure of BaCuAgSb2.

raw total energy: -3.849 eV per atom

Cell: 4.792 4.792 11.199 Å, 90.00 90.00 90.00°
Fractional positions:
Cu (0.500, 0.000, 0.379)
Cu (0.000, 0.500, 0.621)
Sb (0.000, 0.000, 0.500)
Sb (0.500, 0.500, 0.500)
Sb (0.000, 0.500, 0.857)
Sb (0.500, 0.000, 0.143)
Ba (0.500, 0.000, 0.751)
Ba (0.000, 0.500, 0.249)
Ag (0.000, 0.000, 0.000)
Ag (0.500, 0.500, 0.000)

=====

## CsThCo (GGA-PBE)

Data for a relaxed structure of CsThCo.

raw total energy: -4.053 eV per atom

Cell: 4.949 4.949 4.949 Å, 60.00 60.00 60.00°
Fractional positions:
Co (0.000, 0.000, 0.000)
Cs (0.250, 0.250, 0.250)
Th (0.750, 0.750, 0.750)